Pm3Pr3Sm5 GGA-PBE optimized geometry; DOS(E_F) = 20.5 states/eV per cell; formation energy = 0.710 eV/atom; magnetization = 0.0 Bohr magnetons per cell; calculated volume = 465.0 Å³/f.u.; space-group type = No. 189
1.0
9.7855 0.0000 0.0000
-4.8928 8.4745 0.0000
0.0000 0.0000 5.6072
Pm Pr Sm
3 3 5
direct
0.0000 0.7315 0.0000
0.2685 0.2685 0.0000
0.7315 0.0000 0.0000
0.0000 0.5808 0.5000
0.4192 0.4192 0.5000
0.5808 0.0000 0.5000
0.0000 0.3663 0.0000
0.3333 0.6667 0.0000
0.3663 0.0000 0.0000
0.6337 0.6337 0.0000
0.6667 0.3333 0.0000

Zr2CuI GGA-PBE optimized geometry; DOS(E_F) = 9.0 states/eV per cell; magnetization = 0.0 Bohr magnetons per cell; calculated volume = 117.3 Å³/f.u.; space-group type = No. 122; formation energy (no corrections) = 0.561 eV per atom
1.0
-3.0416 3.0416 6.3407
3.0416 -3.0416 6.3407
3.0416 3.0416 -6.3407
Zr Cu I
4 2 2
direct
0.0590 0.6250 0.9340
0.3750 0.3090 0.4340
0.6910 0.1250 0.0660
0.8750 0.9410 0.5660
0.0000 0.0000 0.0000
0.7500 0.2500 0.5000
0.2500 0.7500 0.5000
0.5000 0.5000 0.0000

Tb5Tc2O12 GGA-PBE optimized geometry; DOS(E_F) = 4.8 states/eV per cell; magnetization = 1.0 Bohr magnetons per cell; calculated volume = 256.1 Å³/f.u.; space-group type = No. 12; formation energy (no corrections) = -2.884 eV per atom
1.0
6.2501 -2.8420 0.0000
6.2501 2.8420 0.0000
-2.3318 0.0000 7.2093
Tb Tc O
5 2 12
direct
0.0000 0.0000 0.0000
0.3049 0.3049 0.1427
0.3155 0.3155 0.6747
0.6845 0.6845 0.3253
0.6951 0.6951 0.8573
0.2139 0.7861 0.5000
0.7861 0.2139 0.5000
0.0004 0.0004 0.2962
0.9996 0.9996 0.7038
0.0864 0.5859 0.4174
0.0975 0.5938 0.9254
0.4062 0.9025 0.0746
0.4141 0.9136 0.5826
0.4986 0.4986 0.3234
0.5014 0.5014 0.6766
0.5859 0.0864 0.4174
0.5938 0.0975 0.9254
0.9025 0.4062 0.0746
0.9136 0.4141 0.5826

Ac3GaSi2Rh9 GGA-PBE optimized geometry; DOS(E_F) = 12.1 states/eV per cell; magnetization = 0.0 Bohr magnetons per cell; calculated volume = 293.7 Å³/f.u.; space-group type = No. 164; formation energy (no corrections) = -0.598 eV per atom
1.0
6.4917 0.0000 0.0000
-3.2459 5.6220 0.0000
0.0000 0.0000 8.0472
Ac Ga Si Rh
3 1 2 9
direct
0.0000 0.0000 0.0000
0.3333 0.6667 0.6623
0.6667 0.3333 0.3377
0.0000 0.0000 0.5000
0.3333 0.6667 0.1608
0.6667 0.3333 0.8392
0.0000 0.5000 0.0000
0.1709 0.3417 0.3251
0.1709 0.8291 0.3251
0.3417 0.1709 0.6749
0.5000 0.0000 0.0000
0.5000 0.5000 0.0000
0.6583 0.8291 0.3251
0.8291 0.1709 0.6749
0.8291 0.6583 0.6749

Sr2MgTl7 GGA-PBE optimized geometry; DOS(E_F) = 7.1 states/eV per cell; formation energy = 0.066 eV/atom; magnetization = 0.0 Bohr magnetons per cell; calculated volume = 369.0 Å³/f.u.; space-group type = No. 225
1.0
0.0000 5.6931 5.6931
5.6931 0.0000 5.6931
5.6931 5.6931 0.0000
Sr Mg Tl
2 1 7
direct
0.2500 0.2500 0.2500
0.7500 0.7500 0.7500
0.0000 0.0000 0.0000
0.2424 0.2424 0.7576
0.2424 0.7576 0.2424
0.2424 0.7576 0.7576
0.5000 0.5000 0.5000
0.7576 0.2424 0.2424
0.7576 0.2424 0.7576
0.7576 0.7576 0.2424

TaTc2Ag GGA-PBE optimized geometry; DOS(E_F) = 4.5 states/eV per cell; formation energy = 0.218 eV/atom; magnetization = 0.0 Bohr magnetons per cell; calculated volume = 65.2 Å³/f.u.; space-group type = No. 160
1.0
1.4015 0.8092 9.5856
-1.4015 0.8092 9.5856
0.0000 -1.6183 9.5856
Ta Tc Ag
1 2 1
direct
0.0000 0.0000 0.0000
0.4911 0.4911 0.4911
0.7529 0.7529 0.7529
0.2447 0.2447 0.2447

BaTe2P GGA-PBE optimized geometry; DOS(E_F) = 3.3 states/eV per cell; magnetization = 0.0 Bohr magnetons per cell; calculated volume = 128.6 Å³/f.u.; space-group type = No. 69; formation energy (no corrections) = -0.338 eV per atom
1.0
0.0000 3.2696 6.0136
3.2693 0.0000 6.0136
3.2693 3.2696 0.0000
Ba Te P
1 2 1
direct
0.0000 0.0000 0.0000
0.0000 0.5000 0.0000
0.5000 0.0000 0.5000
0.5000 0.5000 0.5000

SmYTm2Tl2 GGA-PBE optimized geometry; DOS(E_F) = 11.8 states/eV per cell; formation energy = -0.270 eV/atom; magnetization = 0.0 Bohr magnetons per cell; calculated volume = 172.5 Å³/f.u.; space-group type = No. 26
1.0
5.0993 0.0000 0.0000
0.0000 9.9851 0.0000
0.0000 0.0000 6.7751
Sm Y Tm Tl
2 2 4 4
direct
0.0000 0.0403 0.0000
0.0000 0.9597 0.5000
0.5000 0.1913 0.7216
0.5000 0.8087 0.2216
0.0000 0.3171 0.3735
0.0000 0.6829 0.8735
0.5000 0.4582 0.0899
0.5000 0.5418 0.5899
0.0000 0.3692 0.8367
0.0000 0.6308 0.3367
0.5000 0.1398 0.2567
0.5000 0.8602 0.7567